1.
Material: SrPd2Cl
Method: DFT, PBE
State: relaxed

Lattice parameters (Å, degrees): 7.008 7.008 7.008 90.00 90.00 90.00
Space group Fm-3m (No. 225)
One atom of each set of equivalent atoms:
Sr (0.000, 0.000, 0.000)
Pd (0.250, 0.250, 0.250)
Cl (0.000, 0.000, 0.500)

Computed properties:
* ΔE_f (raw): -272 meV per atom
* total moment: 0.0 μB/cell



2.
Material: PmGd2Ho
Method: DFT, PBE
State: relaxed

Lattice parameters (Å, degrees): 8.069 8.069 8.069 90.00 90.00 90.00
Space group Fm-3m (No. 225)
One atom of each set of equivalent atoms:
Pm (0.000, 0.000, 0.000)
Gd (0.250, 0.250, 0.250)
Ho (0.000, 0.000, 0.500)

Computed properties:
* E_form: 0.4 eV/f.u.
* total moment: 64.8 μB/cell



3.
Material: TlCuSn
Method: DFT, PBE
State: relaxed

Lattice parameters (Å, degrees): 4.304 4.304 7.515 90.00 90.00 90.00
Space group P4/nmm (No. 129, origin choice 2)
One atom of each set of equivalent atoms:
Tl (0.250, 0.750, 0.000)
Cu (0.250, 0.250, 0.273)
Sn (0.250, 0.250, 0.620)

Computed properties:
* E_form: 0.7 eV/f.u.
* total moment: 0.0 μB/cell



4.
Material: CeY3Ru4
Method: DFT, PBE
State: relaxed

Lattice parameters (Å, degrees): 6.836 6.836 6.836 90.00 90.00 90.00
Space group Im-3m (No. 229)
One atom of each set of equivalent atoms:
Ce (0.000, 0.000, 0.000)
Y (0.000, 0.000, 0.500)
Ru (0.250, 0.250, 0.250)

Computed properties:
* E_form: -2.7 eV/f.u.
* total moment: 0.0 μB/cell



5.
Material: SrSc2Ag
Method: DFT, PBE
State: relaxed

Lattice parameters (Å, degrees): 5.338 5.338 19.963 90.00 90.00 90.00
Space group I4_1/amd (No. 141, origin choice 2)
One atom of each set of equivalent atoms:
Sr (0.000, 0.250, 0.375)
Sc (0.000, 0.000, 0.000)
Ag (0.000, 0.250, 0.875)

Computed properties:
* E_form: 2.3 eV/f.u.
* total moment: 0.0 μB/cell